[1]
This record from Alexandria describes a relaxed AcDyZn4 crystal. The functional is PBE.

Output
For the density of states at the Fermi level, the calculation gives 0.394 states/eV/atom. As for the distance to the lowest polymorph of the same formula: 1 kJ/mol of formula units. The calculation puts the calculated formation energy at -0.266 eV/atom.

Lattice parameters (Å, degrees): 5.6514 5.6514 5.6514 60.00 60.00 60.00
Atoms (fractional coordinates):
Ac (0.2500, 0.2500, 0.2500)
Zn (0.6267, 0.6267, 0.1200)
Zn (0.6267, 0.1200, 0.6267)
Zn (0.6267, 0.6267, 0.6267)
Zn (0.1200, 0.6267, 0.6267)
Dy (0.0000, 0.0000, 0.0000)

***

[2]
This record from Alexandria describes a relaxed Ac3DyZn8 crystal. The functional is PBE.

Output
For the density of states at the Fermi level, the calculation gives 0.627 states/eV/atom. The calculation puts the calculated formation energy at -0.221 eV/atom.

Lattice parameters (Å, degrees): 5.8708 5.8708 8.9994 90.00 90.00 120.00
Atoms (fractional coordinates):
Ac (0.6667, 0.3333, 0.4527)
Ac (0.6667, 0.3333, 0.0508)
Ac (0.0000, 0.0000, 0.9360)
Dy (0.0000, 0.0000, 0.5544)
Zn (0.3333, 0.6667, 0.4936)
Zn (0.3333, 0.6667, 0.0100)
Zn (0.4895, 0.9790, 0.7447)
Zn (0.4895, 0.5105, 0.7447)
Zn (0.0210, 0.5105, 0.7447)
Zn (0.1650, 0.3301, 0.2562)
Zn (0.1650, 0.8350, 0.2562)
Zn (0.6699, 0.8350, 0.2562)

***

[3]
This record from Alexandria describes a relaxed AcDyZn2 crystal. The functional is PBE.

Output
For the density of states at the Fermi level, the calculation gives 1.202 states/eV/atom. The calculation puts the calculated formation energy at -0.270 eV/atom.

Lattice parameters (Å, degrees): 3.7172 3.7172 7.5571 90.00 90.00 90.00
Atoms (fractional coordinates):
Ac (0.5000, 0.5000, 0.5000)
Zn (0.0000, 0.0000, 0.7896)
Zn (0.0000, 0.0000, 0.2104)
Dy (0.5000, 0.5000, 0.0000)

***

[4]
This record from Alexandria describes a relaxed AcDy2Zn crystal. The functional is PBE.

Output
For the density of states at the Fermi level, the calculation gives 1.558 states/eV/atom. As for the distance to the lowest polymorph of the same formula: 121 kJ/mol of formula units. The calculation puts the calculated formation energy at 0.190 eV/atom.

Lattice parameters (Å, degrees): 5.5186 5.5186 5.5186 60.00 60.00 60.00
Atoms (fractional coordinates):
Ac (0.0000, 0.0000, 0.0000)
Zn (0.5000, 0.5000, 0.5000)
Dy (0.2500, 0.2500, 0.2500)
Dy (0.7500, 0.7500, 0.7500)

***

[5]
This record from Alexandria describes a relaxed AcDyZn crystal. The functional is PBE.

Output
For the density of states at the Fermi level, the calculation gives 1.337 states/eV/atom. As for the distance to the lowest polymorph of the same formula: 63 kJ/mol of formula units. The calculation puts the calculated formation energy at 0.061 eV/atom.

Lattice parameters (Å, degrees): 5.1976 5.1988 5.1993 90.00 120.02 120.00
Atoms (fractional coordinates):
Ac (0.9444, 0.4723, 0.4166)
Dy (0.9445, 0.9722, 0.9166)
Zn (0.4444, 0.2221, 0.6667)

***

[6]
This record from Alexandria describes a relaxed AcDyZn crystal. The functional is PBE.

Output
For the density of states at the Fermi level, the calculation gives 1.253 states/eV/atom. As for the distance to the lowest polymorph of the same formula: 37 kJ/mol of formula units. The calculation puts the calculated formation energy at -0.030 eV/atom.

Lattice parameters (Å, degrees): 3.9728 5.1986 5.1986 120.00 90.00 90.00
Atoms (fractional coordinates):
Ac (0.0000, 0.0000, 0.0000)
Zn (0.5001, 0.3333, 0.6667)
Dy (0.4999, 0.6667, 0.3333)

***

[7]
This record from Alexandria describes a relaxed Ac2DyZn9 crystal. The functional is PBE.

Output
For the density of states at the Fermi level, the calculation gives 0.431 states/eV/atom. The calculation puts the calculated formation energy at -0.216 eV/atom.

Lattice parameters (Å, degrees): 5.6323 5.6323 9.5410 72.83 72.83 60.00
Atoms (fractional coordinates):
Ac (0.8601, 0.8601, 0.4197)
Ac (0.1399, 0.1399, 0.5803)
Dy (0.0000, 0.0000, 0.0000)
Zn (0.6655, 0.6655, 0.0036)
Zn (0.3345, 0.3345, 0.9964)
Zn (0.5000, 0.5000, 0.5000)
Zn (0.4220, 0.4220, 0.2300)
Zn (0.9259, 0.4220, 0.2300)
Zn (0.4220, 0.9259, 0.2300)
Zn (0.5780, 0.5780, 0.7700)
Zn (0.5780, 0.0741, 0.7700)
Zn (0.0741, 0.5780, 0.7700)

***

[8]
This record from Alexandria describes a relaxed Ac5DyZn4 crystal. The functional is PBE.

Output
For the density of states at the Fermi level, the calculation gives 1.119 states/eV/atom. The calculation puts the calculated formation energy at -0.181 eV/atom.

Lattice parameters (Å, degrees): 3.9064 3.9064 20.7697 90.00 90.00 90.00
Atoms (fractional coordinates):
Ac (0.5000, 0.5000, 0.1243)
Ac (0.5000, 0.5000, 0.3116)
Ac (0.5000, 0.5000, 0.5000)
Ac (0.5000, 0.5000, 0.6884)
Ac (0.5000, 0.5000, 0.8757)
Dy (0.0000, 0.0000, 0.0000)
Zn (0.0000, 0.0000, 0.2163)
Zn (0.0000, 0.0000, 0.4063)
Zn (0.0000, 0.0000, 0.5937)
Zn (0.0000, 0.0000, 0.7837)

***

[9]
This record from Alexandria describes a relaxed AcDy2Zn crystal. The functional is PBE.

Output
For the density of states at the Fermi level, the calculation gives 1.361 states/eV/atom. As for the distance to the lowest polymorph of the same formula: 0 kJ/mol of formula units. The calculation puts the calculated formation energy at -0.123 eV/atom.

Lattice parameters (Å, degrees): 3.6609 3.6609 8.9768 90.00 90.00 90.00
Atoms (fractional coordinates):
Ac (0.5000, 0.5000, 0.5000)
Zn (0.5000, 0.5000, 0.0000)
Dy (0.0000, 0.0000, 0.8078)
Dy (0.0000, 0.0000, 0.1922)

***

[10]
This record from Alexandria describes a relaxed AcDy2Zn crystal. The functional is PBE.

Output
For the density of states at the Fermi level, the calculation gives 1.241 states/eV/atom. As for the distance to the lowest polymorph of the same formula: 97 kJ/mol of formula units. The calculation puts the calculated formation energy at 0.130 eV/atom.

Lattice parameters (Å, degrees): 3.6069 3.6069 11.6795 81.12 81.12 60.00
Atoms (fractional coordinates):
Ac (0.0000, 0.0000, 0.0000)
Zn (0.5000, 0.5000, 0.5000)
Dy (0.1046, 0.1046, 0.6862)
Dy (0.8954, 0.8954, 0.3138)

***

[11]
This record from Alexandria describes a relaxed AcDy2Zn crystal. The functional is PBE.

Output
For the density of states at the Fermi level, the calculation gives 1.543 states/eV/atom. As for the distance to the lowest polymorph of the same formula: 66 kJ/mol of formula units. The calculation puts the calculated formation energy at 0.047 eV/atom.

Lattice parameters (Å, degrees): 5.0738 4.8633 4.8633 90.00 90.00 90.00
Atoms (fractional coordinates):
Ac (0.5000, 0.0000, 0.0000)
Zn (0.5000, 0.5000, 0.5000)
Dy (0.0000, 0.0000, 0.5000)
Dy (0.0000, 0.5000, 0.0000)

***

[12]
This record from Alexandria describes a relaxed Ac2DyZn4 crystal. The functional is PBE.

Output
For the density of states at the Fermi level, the calculation gives 0.737 states/eV/atom. The calculation puts the calculated formation energy at -0.123 eV/atom.

Lattice parameters (Å, degrees): 5.4156 5.4156 7.6842 110.63 110.63 90.00
Atoms (fractional coordinates):
Ac (0.7176, 0.7176, 0.4351)
Ac (0.2824, 0.2824, 0.5649)
Dy (0.0000, 0.0000, 0.0000)
Zn (0.4022, 0.9022, 0.8044)
Zn (0.9022, 0.4022, 0.8044)
Zn (0.5978, 0.0978, 0.1956)
Zn (0.0978, 0.5978, 0.1956)

***

> What is the formula in the ninth record?

AcDy2Zn

***

> Which formula does entry 5 have?

AcDyZn